No. 1
5
Lattice="4.188 0.000 0.000 0.000 4.188 0.000 0.000 0.000 4.188" Properties=species:S:1:pos:R:3 comment="Be3MoSe (PBE, relaxed)" de_polymorph_ev_per_atom=0.000 e_tot_ev_per_fu=-19.12 pbc="T T T"
Be 0.000 0.000 2.094
Be 0.000 2.094 0.000
Be 2.094 0.000 0.000
Mo 2.094 2.094 2.094
Se 0.000 0.000 0.000

No. 2
4
Lattice="4.232 -1.645 0.000 4.232 1.645 0.000 -0.332 0.000 6.275" Properties=species:S:1:pos:R:3 comment="BeMoSe2 (PBE, relaxed)" e_tot_ev_per_fu=-22.04 pbc="T T T"
Be 0.000 0.000 0.000
Mo 2.041 0.000 5.598
Se 4.446 0.000 4.773
Se 6.736 0.000 1.270

No. 3
4
Lattice="3.178 0.000 0.000 0.000 3.178 0.000 0.000 0.000 5.650" Properties=species:S:1:pos:R:3 comment="BeMo2Se (PBE, relaxed)" de_polymorph_ev_per_atom=0.000 e_tot_ev_per_fu=-28.77 pbc="T T T"
Be 0.000 0.000 0.000
Mo 0.000 0.000 2.619
Mo 1.589 1.589 1.026
Se 1.589 1.589 4.086

No. 4
4
Lattice="0.000 3.175 3.175 3.175 0.000 3.175 3.175 3.175 0.000" Properties=species:S:1:pos:R:3 comment="BeMoSe2 (PBE, relaxed)" e_tot_ev_per_fu=-18.09 pbc="T T T"
Be 0.000 0.000 0.000
Mo 4.763 4.763 4.763
Se 1.588 1.588 1.588
Se 3.175 3.175 3.175

No. 5
4
Lattice="4.446 0.000 0.000 0.000 4.446 0.000 0.000 0.000 3.155" Properties=species:S:1:pos:R:3 comment="BeMoSe2 (PBE, relaxed)" e_tot_ev_per_fu=-19.95 pbc="T T T"
Be 0.000 0.000 0.000
Mo 2.223 2.223 0.000
Se 0.000 2.223 1.578
Se 2.223 0.000 1.578

No. 6
4
Lattice="3.404 0.000 0.000 0.000 3.252 0.000 -0.023 0.000 7.424" Properties=species:S:1:pos:R:3 comment="BeMoSe2 (PBE, relaxed)" e_tot_ev_per_fu=-22.20 pbc="T T T"
Be 0.000 0.000 0.000
Mo 1.679 1.626 6.641
Se 1.702 0.000 1.304
Se 3.381 1.626 4.817